Record 1
Computed, not measured: a relaxed KZr2P crystal at the PBE level of DFT.

Lattice parameters (Å, degrees): 6.1924 9.5957 3.0205 90.00 90.00 90.00
Closest atoms and distances in Å follow each position.
Element x y z (fractional)
K: 0.0000 0.0000 0.0000  2 K 3.02, 2 P 3.10, 8 Zr 3.23
K: 0.5000 0.5000 0.0000  2 K 3.02, 2 P 3.10, 8 Zr 3.23
Zr: 0.2500 0.2500 0.5000  4 Zr 3.02-3.10, 4 K 3.23, 4 P 3.23
Zr: 0.2500 0.7500 0.5000  4 Zr 3.02-3.10, 4 K 3.23, 4 P 3.23
Zr: 0.7500 0.2500 0.5000  4 Zr 3.02-3.10, 4 K 3.23, 4 P 3.23
Zr: 0.7500 0.7500 0.5000  4 Zr 3.02-3.10, 4 K 3.23, 4 P 3.23
P: 0.0000 0.5000 0.0000  2 P 3.02, 2 K 3.10, 8 Zr 3.23
P: 0.5000 0.0000 0.0000  2 P 3.02, 2 K 3.10, 8 Zr 3.23

The volume is 179.5 Å³/cell. For the mass density, the calculation gives 4.67 g cm⁻³. Its total magnetization is 0.000 μB/f.u. The calculated total energy comes out at -5.210 eV per atom. For the calculated formation energy, the calculation gives 0.69 eV per atom.


Record 2
Computed, not measured: a relaxed AlCdPb2 crystal at the PBE level of DFT.

Lattice parameters (Å, degrees): 3.4861 4.9630 6.4915 90.00 105.49 90.00
Closest atoms and distances in Å follow each position.
Element x y z (fractional)
Al: 0.0000 0.0000 0.0000  4 Pb 3.07, 2 Cd 3.25
Cd: 0.5000 0.0000 0.5000  2 Al 3.25, 8 Pb 3.37-3.55, 2 Cd 3.49
Pb: 0.1828 0.5000 0.7643  2 Al 3.07, 2 Pb 3.26-3.33, 2 Cd 3.37
Pb: 0.8172 0.5000 0.2357  2 Al 3.07, 2 Pb 3.26-3.33, 2 Cd 3.37

The volume is 108.2 Å³/cell. For the mass density, the calculation gives 8.50 g cm⁻³. Its total magnetization is 0.000 μB/f.u. The calculated total energy comes out at -2.819 eV per atom. For the calculated formation energy, the calculation gives 0.20 eV per atom.


Record 3
Computed, not measured: a relaxed U2S2I crystal at the PBE level of DFT.

Lattice parameters (Å, degrees): 8.9350 8.9350 3.6203 90.00 90.00 90.00
Closest atoms and distances in Å follow each position.
Element x y z (fractional)
U: 0.1611 0.3389 0.0000  3 S 2.62-2.63
U: 0.3389 0.8389 0.0000  3 S 2.62-2.63
U: 0.6611 0.1611 0.0000  3 S 2.62-2.63
U: 0.8389 0.6611 0.0000  3 S 2.62-2.63
S: 0.1307 0.6307 0.0000  3 U 2.62-2.63
S: 0.3693 0.1307 0.0000  3 U 2.62-2.63
S: 0.6307 0.8693 0.0000  3 U 2.62-2.63
S: 0.8693 0.3693 0.0000  3 U 2.62-2.63
I: 0.0000 0.0000 0.5000  2 I 3.62, 8 U 3.81, 8 S 3.94
I: 0.5000 0.5000 0.5000  2 I 3.62, 8 U 3.81, 8 S 3.94

The volume is 289.0 Å³/cell. The uncorrected formation energy comes out at -0.53 eV per atom. For the mass density, the calculation gives 7.67 g cm⁻³. Its total magnetization is 6.774 μB/f.u. The calculated total energy comes out at -7.003 eV per atom.


Record 4
Computed, not measured: a relaxed CoIrRh crystal at the PBE level of DFT.

Lattice parameters (Å, degrees): 5.6246 5.6246 5.6246 90.00 90.00 90.00
Closest atoms and distances in Å follow each position.
Element x y z (fractional)
Co: 0.0000 0.0000 0.0000  4 Ir 2.44, 4 Rh 2.44
Co: 0.0000 0.5000 0.5000  4 Ir 2.44, 4 Rh 2.44
Co: 0.5000 0.0000 0.5000  4 Ir 2.44, 4 Rh 2.44
Co: 0.5000 0.5000 0.0000  4 Ir 2.44, 4 Rh 2.44
Ir: 0.2500 0.2500 0.2500  4 Co 2.44
Ir: 0.2500 0.7500 0.7500  4 Co 2.44
Ir: 0.7500 0.2500 0.7500  4 Co 2.44
Ir: 0.7500 0.7500 0.2500  4 Co 2.44
Rh: 0.2500 0.2500 0.7500  4 Co 2.44
Rh: 0.2500 0.7500 0.2500  4 Co 2.44
Rh: 0.7500 0.2500 0.2500  4 Co 2.44
Rh: 0.7500 0.7500 0.7500  4 Co 2.44

The volume is 177.9 Å³/cell. Its excess energy over the best structure of this formula in the dataset is 0.449 eV per atom. For the mass density, the calculation gives 13.22 g cm⁻³. Its total magnetization is 0.449 μB/f.u. The calculated total energy comes out at -7.289 eV per atom. For the calculated formation energy, the calculation gives 0.48 eV per atom.


Record 5
Computed, not measured: a relaxed CsPdBr2 crystal at the PBE level of DFT.

Lattice parameters (Å, degrees): 4.4127 4.4127 27.3453 90.00 90.00 120.00
Closest atoms and distances in Å follow each position.
Element x y z (fractional)
Cs: 0.0000 0.0000 0.0000  2 Br 3.31
Cs: 0.3333 0.6667 0.6667  2 Br 3.31
Cs: 0.6667 0.3333 0.3333  2 Br 3.31
Pd: 0.0000 0.0000 0.5000  6 Br 2.84
Pd: 0.3333 0.6667 0.1667  6 Br 2.84
Pd: 0.6667 0.3333 0.8333  6 Br 2.84
Br: 0.0000 0.0000 0.1209  3 Pd 2.84
Br: 0.0000 0.0000 0.8791  3 Pd 2.84
Br: 0.3333 0.6667 0.5458  3 Pd 2.84
Br: 0.3333 0.6667 0.7876  3 Pd 2.84
Br: 0.6667 0.3333 0.2124  3 Pd 2.84
Br: 0.6667 0.3333 0.4542  3 Pd 2.84

The volume is 461.1 Å³/cell. The uncorrected formation energy comes out at -0.40 eV per atom. Its excess energy over the best structure of this formula in the dataset is 0.352 eV per atom. For the mass density, the calculation gives 4.31 g cm⁻³. Its total magnetization is 1.111 μB/f.u. The calculated total energy comes out at -2.746 eV per atom.


Record 6
Computed, not measured: a relaxed Rb2TmTcO6 crystal at the PBE level of DFT.

Lattice parameters (Å, degrees): 6.4184 6.4184 5.6721 90.00 90.00 120.00
Closest atoms and distances in Å follow each position.
Element x y z (fractional)
Rb: 0.3333 0.6667 0.1304  9 O 2.92-3.26
Rb: 0.6667 0.3333 0.8696  9 O 2.92-3.26
Tm: 0.0000 0.0000 0.5000  6 O 2.24
Tc: 0.0000 0.0000 0.0000  6 O 1.91
O: 0.1357 0.2715 0.7922  1 Tc 1.91
O: 0.1357 0.8643 0.7922  1 Tc 1.91
O: 0.2715 0.1357 0.2078  1 Tc 1.91
O: 0.7285 0.8643 0.7922  1 Tc 1.91
O: 0.8643 0.1357 0.2078  1 Tc 1.91
O: 0.8643 0.7285 0.2078  1 Tc 1.91

The volume is 202.4 Å³/cell. The uncorrected formation energy comes out at -1.89 eV per atom. For the mass density, the calculation gives 4.38 g cm⁻³. Its total magnetization is 0.000 μB/f.u. The calculated total energy comes out at -6.539 eV per atom.


Record 7
Computed, not measured: a relaxed Ba2Zn2TeP2O11 crystal at the PBE level of DFT.

Lattice parameters (Å, degrees): 7.1509 16.4083 9.9442 90.00 105.84 90.00
Closest atoms and distances in Å follow each position.
Element x y z (fractional)
Ba: 0.2223 0.2402 0.3862  7 O 2.69-2.96
Ba: 0.2223 0.2598 0.8862  7 O 2.69-2.96
Ba: 0.2389 0.5960 0.9610  6 O 2.65-2.95
Ba: 0.2389 0.9040 0.4610  6 O 2.65-2.95
Ba: 0.7611 0.0960 0.5390  6 O 2.65-2.95
Ba: 0.7611 0.4040 0.0390  6 O 2.65-2.95
Ba: 0.7777 0.7402 0.1138  7 O 2.69-2.96
Ba: 0.7777 0.7598 0.6138  7 O 2.69-2.96
Zn: 0.0782 0.5425 0.2981  4 O 1.95-2.01
Zn: 0.0782 0.9575 0.7981  4 O 1.95-2.01
Zn: 0.3243 0.6446 0.5821  4 O 1.95-2.01
Zn: 0.3243 0.8554 0.0821  4 O 1.95-2.01
Zn: 0.6757 0.1446 0.9179  4 O 1.95-2.01
Zn: 0.6757 0.3554 0.4179  4 O 1.95-2.01
Zn: 0.9218 0.0425 0.2019  4 O 1.95-2.01
Zn: 0.9218 0.4575 0.7019  4 O 1.95-2.01
Te: 0.3281 0.0544 0.1145  3 O 1.84-1.96
Te: 0.3281 0.4456 0.6145  3 O 1.84-1.96
Te: 0.6719 0.5544 0.3855  3 O 1.84-1.96
Te: 0.6719 0.9456 0.8855  3 O 1.84-1.96
P: 0.2757 0.1022 0.6619  4 O 1.54-1.58
P: 0.2757 0.3978 0.1619  4 O 1.54-1.58
P: 0.2975 0.7123 0.2726  4 O 1.54-1.57
P: 0.2975 0.7877 0.7726  4 O 1.54-1.57
P: 0.7025 0.2123 0.2274  4 O 1.54-1.57
P: 0.7025 0.2877 0.7274  4 O 1.54-1.57
P: 0.7243 0.6022 0.8381  4 O 1.54-1.58
P: 0.7243 0.8978 0.3381  4 O 1.54-1.58
O: 0.1193 0.6533 0.2251  1 P 1.57
O: 0.1193 0.8467 0.7251  1 P 1.57
O: 0.1261 0.1729 0.6252  1 P 1.55
O: 0.1261 0.3271 0.1252  1 P 1.55
O: 0.1463 0.1318 0.0314  1 Te 1.84
O: 0.1463 0.3682 0.5314  1 Te 1.84
O: 0.1590 0.0195 0.6522  1 P 1.58
O: 0.1590 0.4805 0.1522  1 P 1.58
O: 0.2022 0.0173 0.2495  1 Te 1.91, 1 Zn 1.97
O: 0.2022 0.4827 0.7495  1 Te 1.91, 1 Zn 1.97
O: 0.2176 0.7014 0.7166  1 P 1.57
O: 0.2176 0.7986 0.2166  1 P 1.57
O: 0.2427 0.5389 0.4894  2 Zn 1.95-1.98, 1 Te 1.96
O: 0.2427 0.9611 0.9894  2 Zn 1.95-1.98, 1 Te 1.96
O: 0.3695 0.7185 0.4350  1 P 1.56
O: 0.3695 0.7815 0.9350  1 P 1.56
O: 0.3973 0.0977 0.5563  1 P 1.54
O: 0.3973 0.4023 0.0563  1 P 1.54
O: 0.4022 0.1133 0.8164  1 P 1.57
O: 0.4022 0.3867 0.3164  1 P 1.57
O: 0.4600 0.6836 0.2088  1 P 1.54
O: 0.4600 0.8164 0.7088  1 P 1.54
O: 0.5400 0.1836 0.2912  1 P 1.54
O: 0.5400 0.3164 0.7912  1 P 1.54
O: 0.5978 0.6133 0.6836  1 P 1.57
O: 0.5978 0.8867 0.1836  1 P 1.57
O: 0.6027 0.5977 0.9437  1 P 1.54
O: 0.6027 0.9023 0.4437  1 P 1.54
O: 0.6305 0.2185 0.0650  1 P 1.56
O: 0.6305 0.2815 0.5650  1 P 1.56
O: 0.7573 0.0389 0.0106  2 Zn 1.95-1.98, 1 Te 1.96
O: 0.7573 0.4611 0.5106  2 Zn 1.95-1.98, 1 Te 1.96
O: 0.7824 0.2014 0.7834  1 P 1.57
O: 0.7824 0.2986 0.2834  1 P 1.57
O: 0.7978 0.5173 0.2505  1 Te 1.91, 1 Zn 1.97
O: 0.7978 0.9827 0.7505  1 Te 1.91, 1 Zn 1.97
O: 0.8410 0.5195 0.8478  1 P 1.58
O: 0.8410 0.9805 0.3478  1 P 1.58
O: 0.8537 0.6318 0.4686  1 Te 1.84
O: 0.8537 0.8682 0.9686  1 Te 1.84
O: 0.8739 0.6729 0.8748  1 P 1.55
O: 0.8739 0.8271 0.3748  1 P 1.55
O: 0.8807 0.1533 0.2749  1 P 1.57
O: 0.8807 0.3467 0.7749  1 P 1.57

The volume is 1122.5 Å³/cell. The uncorrected formation energy comes out at -2.21 eV per atom. For the mass density, the calculation gives 4.56 g cm⁻³. Its total magnetization is 0.000 μB/f.u. The calculated total energy comes out at -6.371 eV per atom.


Record 8
Computed, not measured: a relaxed Li2Y3Se3O2 crystal at the PBE level of DFT.

Lattice parameters (Å, degrees): 12.7100 12.7100 12.7100 161.82 161.82 25.83
Closest atoms and distances in Å follow each position.
Element x y z (fractional)
Li: 0.2500 0.7500 0.5000  4 O 2.15
Li: 0.7500 0.2500 0.5000  4 O 2.15
Y: 0.0000 0.0000 0.0000  6 Se 2.84-2.91
Y: 0.3628 0.3628 0.0000  1 O 2.02
Y: 0.6372 0.6372 0.0000  1 O 2.02
Se: 0.1176 0.1176 0.0000  5 Y 2.88-2.91
Se: 0.5000 0.5000 0.0000  4 Y 2.84
Se: 0.8824 0.8824 0.0000  5 Y 2.88-2.91
O: 0.2814 0.2814 0.0000  1 Y 2.02, 4 Li 2.15
O: 0.7186 0.7186 0.0000  1 Y 2.02, 4 Li 2.15

The volume is 199.9 Å³/cell. The uncorrected formation energy comes out at -2.10 eV per atom. For the mass density, the calculation gives 4.56 g cm⁻³. Its total magnetization is 0.000 μB/f.u. The calculated total energy comes out at -6.460 eV per atom.


Record 9
Computed, not measured: a relaxed Ca6HAu2N crystal at the PBE level of DFT.

Lattice parameters (Å, degrees): 6.8645 7.1219 11.8347 90.00 125.46 90.00
Closest atoms and distances in Å follow each position.
Element x y z (fractional)
Ca: 0.1518 0.2166 0.4614  1 N 2.43, 1 H 2.65
Ca: 0.1518 0.2834 0.9614  1 N 2.43, 1 H 2.65
Ca: 0.2473 0.6907 0.4618  1 N 2.41, 1 H 2.68
Ca: 0.2473 0.8093 0.9618  1 N 2.41, 1 H 2.68
Ca: 0.3148 0.0146 0.2416  1 N 2.38, 1 H 2.54
Ca: 0.3148 0.4854 0.7416  1 N 2.38, 1 H 2.54
Ca: 0.6852 0.5146 0.2584  1 N 2.38, 1 H 2.54
Ca: 0.6852 0.9854 0.7584  1 N 2.38, 1 H 2.54
Ca: 0.7527 0.1907 0.0382  1 N 2.41, 1 H 2.68
Ca: 0.7527 0.3093 0.5382  1 N 2.41, 1 H 2.68
Ca: 0.8482 0.7166 0.0386  1 N 2.43, 1 H 2.65
Ca: 0.8482 0.7834 0.5386  1 N 2.43, 1 H 2.65
H: 0.5000 0.0000 0.5000  6 Ca 2.54-2.68
H: 0.5000 0.5000 0.0000  6 Ca 2.54-2.68
Au: 0.2325 0.0603 0.7503  8 Ca 3.03-3.33
Au: 0.2325 0.4397 0.2503  8 Ca 3.03-3.33
Au: 0.7675 0.5603 0.7497  8 Ca 3.03-3.33
Au: 0.7675 0.9397 0.2497  8 Ca 3.03-3.33
N: 0.0000 0.0000 0.0000  6 Ca 2.38-2.43
N: 0.0000 0.5000 0.5000  6 Ca 2.38-2.43

The volume is 471.3 Å³/cell. For the mass density, the calculation gives 4.58 g cm⁻³. Its total magnetization is 0.000 μB/f.u. The calculated total energy comes out at -3.692 eV per atom.


Record 10
Computed, not measured: a relaxed MnCd2Re crystal at the PBE level of DFT.

Lattice parameters (Å, degrees): 3.0521 4.6413 9.6064 90.00 90.00 90.00
Closest atoms and distances in Å follow each position.
Element x y z (fractional)
Mn: 0.0000 0.0000 0.0000  4 Re 2.78, 4 Cd 2.78, 2 Mn 3.05
Mn: 0.5000 0.5000 0.5000  4 Re 2.78, 4 Cd 2.78, 2 Mn 3.05
Cd: 0.0000 0.5000 0.2576  6 Cd 2.78-3.05, 2 Mn 2.78, 2 Re 2.91
Cd: 0.0000 0.5000 0.7424  6 Cd 2.78-3.05, 2 Mn 2.78, 2 Re 2.91
Cd: 0.5000 0.0000 0.2424  6 Cd 2.78-3.05, 2 Mn 2.78, 2 Re 2.91
Cd: 0.5000 0.0000 0.7576  6 Cd 2.78-3.05, 2 Mn 2.78, 2 Re 2.91
Re: 0.0000 0.0000 0.5000  4 Mn 2.78, 4 Cd 2.91, 2 Re 3.05
Re: 0.5000 0.5000 0.0000  4 Mn 2.78, 4 Cd 2.91, 2 Re 3.05

The volume is 136.1 Å³/cell. Its excess energy over the best structure of this formula in the dataset is 0.341 eV per atom. For the mass density, the calculation gives 11.37 g cm⁻³. Its total magnetization is 3.100 μB/f.u. The calculated total energy comes out at -5.281 eV per atom. For the calculated formation energy, the calculation gives 0.58 eV per atom.